Compound: PuSc5Ga4
Source: Alexandria
Functional: PBE-GGA
Structure: relaxed

Properties
* VASP energy: -62.72 eV for the cell shown
* magnetic moment: 5.66 μB per cell
* formation energy: -0.4621 eV/atom

Cell lengths 3.2185, 3.2185, 19.3748 Å; angles 90.00, 90.00, 90.00 degrees
Site moments in Bohr magnetons follow the coordinates.
Element x y z (fractional)
Pu1 0.0000 0.0000 0.0000  5.34
Sc1 0.5000 0.5000 0.1229  0.00
Sc2 0.5000 0.5000 0.3104  0.04
Sc3 0.5000 0.5000 0.5000  -0.06
Sc4 0.5000 0.5000 0.6896  0.04
Sc5 0.5000 0.5000 0.8771  0.00
Ga1 0.0000 0.0000 0.2144  -0.01
Ga2 0.0000 0.0000 0.4047  0.00
Ga3 0.0000 0.0000 0.5953  0.00
Ga4 0.0000 0.0000 0.7856  -0.01